[1]
# NdNi4As2 | the Alexandria database | GGA-PBE | relaxed
data_NdNi4As2
_chemical_formula_sum 'Nd2 Ni8 As4'
_cell_length_a 7.378
_cell_length_b 7.378
_cell_length_c 3.796
_cell_angle_alpha 90.00
_cell_angle_beta 90.00
_cell_angle_gamma 90.00
_space_group_name_H-M_alt 'P 1'
_space_group_IT_number 1
_space_group_name_Hall 'P 1'
loop_
_atom_site_label
_atom_site_type_symbol
_atom_site_fract_x
_atom_site_fract_y
_atom_site_fract_z
Nd1 Nd 0.000 0.000 0.000
Nd2 Nd 0.500 0.500 0.500
Ni1 Ni 0.088 0.348 0.500
Ni2 Ni 0.152 0.588 0.000
Ni3 Ni 0.348 0.088 0.500
Ni4 Ni 0.412 0.848 0.000
Ni5 Ni 0.588 0.152 0.000
Ni6 Ni 0.652 0.912 0.500
Ni7 Ni 0.848 0.412 0.000
Ni8 Ni 0.912 0.652 0.500
As1 As 0.219 0.781 0.500
As2 As 0.281 0.281 0.000
As3 As 0.719 0.719 0.000
As4 As 0.781 0.219 0.500
# Size of the total moment ... 0.000 μB/f.u.
# Formation enthalpy at 0 K ... -0.595 eV/atom

---

[2]
# LaCeTePb | the Alexandria database | GGA-PBE | relaxed
data_LaCeTePb
_chemical_formula_sum 'La1 Ce1 Te1 Pb1'
_cell_length_a 7.923
_cell_length_b 7.923
_cell_length_c 7.923
_cell_angle_alpha 33.82
_cell_angle_beta 33.82
_cell_angle_gamma 33.82
_space_group_name_H-M_alt 'P 1'
_space_group_IT_number 1
_space_group_name_Hall 'P 1'
loop_
_atom_site_label
_atom_site_type_symbol
_atom_site_fract_x
_atom_site_fract_y
_atom_site_fract_z
La1 La 0.000 0.000 0.000
Ce1 Ce 0.497 0.497 0.497
Te1 Te 0.246 0.246 0.246
Pb1 Pb 0.752 0.752 0.752
# Size of the total moment ... 0.795 μB/f.u.
# E_form (uncorrected) ... -22.80 kcal/mol of atoms

---

[3]
# LiCa3Bi | the Alexandria database | GGA-PBE | relaxed
data_LiCa3Bi
_chemical_formula_sum 'Li1 Ca3 Bi1'
_cell_length_a 5.590
_cell_length_b 5.590
_cell_length_c 5.590
_cell_angle_alpha 90.00
_cell_angle_beta 90.00
_cell_angle_gamma 90.00
_space_group_name_H-M_alt 'P 1'
_space_group_IT_number 1
_space_group_name_Hall 'P 1'
loop_
_atom_site_label
_atom_site_type_symbol
_atom_site_fract_x
_atom_site_fract_y
_atom_site_fract_z
Li1 Li 0.000 0.000 0.000
Ca1 Ca 0.000 0.000 0.500
Ca2 Ca 0.000 0.500 0.000
Ca3 Ca 0.500 0.000 0.000
Bi1 Bi 0.500 0.500 0.500
# Size of the total moment ... 0.000 μB/f.u.
# Formation enthalpy at 0 K ... 0.026 eV/atom

---

[4]
# BaSn2Se4 | the Alexandria database | GGA-PBE | relaxed
data_BaSn2Se4
_chemical_formula_sum 'Ba2 Sn4 Se8'
_cell_length_a 7.060
_cell_length_b 7.060
_cell_length_c 14.141
_cell_angle_alpha 90.00
_cell_angle_beta 90.00
_cell_angle_gamma 144.30
_space_group_name_H-M_alt 'P 1'
_space_group_IT_number 1
_space_group_name_Hall 'P 1'
loop_
_atom_site_label
_atom_site_type_symbol
_atom_site_fract_x
_atom_site_fract_y
_atom_site_fract_z
Ba1 Ba 0.101 0.899 0.750
Ba2 Ba 0.899 0.101 0.250
Sn1 Sn 0.367 0.633 0.562
Sn2 Sn 0.367 0.633 0.938
Sn3 Sn 0.633 0.367 0.062
Sn4 Sn 0.633 0.367 0.438
Se1 Se 0.000 0.000 0.000
Se2 Se 0.000 0.000 0.500
Se3 Se 0.273 0.727 0.109
Se4 Se 0.273 0.727 0.391
Se5 Se 0.417 0.583 0.750
Se6 Se 0.583 0.417 0.250
Se7 Se 0.727 0.273 0.609
Se8 Se 0.727 0.273 0.891
# Size of the total moment ... 0.000 μB/f.u.
# E_form (uncorrected) ... -19.40 kcal/mol of atoms

---

[5]
# SrBeIr2 | the Alexandria database | GGA-PBE | relaxed
data_SrBeIr2
_chemical_formula_sum 'Sr1 Be1 Ir2'
_cell_length_a 3.096
_cell_length_b 3.096
_cell_length_c 7.205
_cell_angle_alpha 90.00
_cell_angle_beta 90.00
_cell_angle_gamma 90.00
_space_group_name_H-M_alt 'P 1'
_space_group_IT_number 1
_space_group_name_Hall 'P 1'
loop_
_atom_site_label
_atom_site_type_symbol
_atom_site_fract_x
_atom_site_fract_y
_atom_site_fract_z
Sr1 Sr 0.000 0.000 0.000
Be1 Be 0.500 0.500 0.353
Ir1 Ir 0.000 0.000 0.448
Ir2 Ir 0.500 0.500 0.698
# Size of the total moment ... 0.000 μB/f.u.
# Formation enthalpy at 0 K ... 0.168 eV/atom

---

[6]
# RbSr2Ga2 | the Alexandria database | GGA-PBE | relaxed
data_RbSr2Ga2
_chemical_formula_sum 'Rb2 Sr4 Ga4'
_cell_length_a 9.595
_cell_length_b 9.595
_cell_length_c 3.787
_cell_angle_alpha 90.00
_cell_angle_beta 90.00
_cell_angle_gamma 90.00
_space_group_name_H-M_alt 'P 1'
_space_group_IT_number 1
_space_group_name_Hall 'P 1'
loop_
_atom_site_label
_atom_site_type_symbol
_atom_site_fract_x
_atom_site_fract_y
_atom_site_fract_z
Rb1 Rb 0.000 0.000 0.000
Rb2 Rb 0.500 0.500 0.000
Sr1 Sr 0.141 0.359 0.000
Sr2 Sr 0.359 0.859 0.000
Sr3 Sr 0.641 0.141 0.000
Sr4 Sr 0.859 0.641 0.000
Ga1 Ga 0.151 0.651 0.500
Ga2 Ga 0.349 0.151 0.500
Ga3 Ga 0.651 0.849 0.500
Ga4 Ga 0.849 0.349 0.500
# Size of the total moment ... 0.000 μB/f.u.
# Formation enthalpy at 0 K ... -0.113 eV/atom

---

[7]
# LuPuInTc | the Alexandria database | GGA-PBE | relaxed
data_LuPuInTc
_chemical_formula_sum 'Lu1 Pu1 In1 Tc1'
_cell_length_a 5.015
_cell_length_b 5.015
_cell_length_c 5.015
_cell_angle_alpha 60.00
_cell_angle_beta 60.00
_cell_angle_gamma 60.00
_space_group_name_H-M_alt 'P 1'
_space_group_IT_number 1
_space_group_name_Hall 'P 1'
loop_
_atom_site_label
_atom_site_type_symbol
_atom_site_fract_x
_atom_site_fract_y
_atom_site_fract_z
Lu1 Lu 0.000 0.000 0.000
Pu1 Pu 0.500 0.500 0.500
In1 In 0.250 0.250 0.250
Tc1 Tc 0.750 0.750 0.750
# Size of the total moment ... 4.833 μB/f.u.
# Formation enthalpy at 0 K ... 0.018 eV/atom

---

[8]
# NaZn3Ag9 | the Alexandria database | GGA-PBE | relaxed
data_NaZn3Ag9
_chemical_formula_sum 'Na1 Zn3 Ag9'
_cell_length_a 7.229
_cell_length_b 7.229
_cell_length_c 7.104
_cell_angle_alpha 97.17
_cell_angle_beta 97.17
_cell_angle_gamma 136.95
_space_group_name_H-M_alt 'P 1'
_space_group_IT_number 1
_space_group_name_Hall 'P 1'
loop_
_atom_site_label
_atom_site_type_symbol
_atom_site_fract_x
_atom_site_fract_y
_atom_site_fract_z
Na1 Na 0.000 0.000 0.000
Zn1 Zn 0.000 0.500 0.000
Zn2 Zn 0.500 0.000 0.000
Zn3 Zn 0.500 0.500 0.500
Ag1 Ag 0.000 0.000 0.500
Ag2 Ag 0.017 0.661 0.655
Ag3 Ag 0.294 0.514 0.785
Ag4 Ag 0.339 0.983 0.345
Ag5 Ag 0.486 0.706 0.215
Ag6 Ag 0.514 0.294 0.785
Ag7 Ag 0.661 0.017 0.655
Ag8 Ag 0.706 0.486 0.215
Ag9 Ag 0.983 0.339 0.345
# Size of the total moment ... 0.000 μB/f.u.
# Formation enthalpy at 0 K ... -0.030 eV/atom

---

[9]
# AcTb5Bi6 | the Alexandria database | GGA-PBE | relaxed
data_AcTb5Bi6
_chemical_formula_sum 'Ac1 Tb5 Bi6'
_cell_length_a 7.902
_cell_length_b 7.902
_cell_length_c 7.904
_cell_angle_alpha 99.65
_cell_angle_beta 99.65
_cell_angle_gamma 120.01
_space_group_name_H-M_alt 'P 1'
_space_group_IT_number 1
_space_group_name_Hall 'P 1'
loop_
_atom_site_label
_atom_site_type_symbol
_atom_site_fract_x
_atom_site_fract_y
_atom_site_fract_z
Ac1 Ac 0.000 0.000 0.000
Tb1 Tb 0.162 0.838 0.500
Tb2 Tb 0.332 0.668 0.000
Tb3 Tb 0.500 0.500 0.500
Tb4 Tb 0.668 0.332 0.000
Tb5 Tb 0.838 0.162 0.500
Bi1 Bi 0.087 0.432 0.259
Bi2 Bi 0.262 0.262 0.746
Bi3 Bi 0.432 0.087 0.259
Bi4 Bi 0.568 0.913 0.741
Bi5 Bi 0.738 0.738 0.254
Bi6 Bi 0.913 0.568 0.741
# Size of the total moment ... 0.000 μB/f.u.
# Formation enthalpy at 0 K ... -0.881 eV/atom

---

[10]
# Th8Sc | the Alexandria database | GGA-PBE | relaxed
data_Th8Sc
_chemical_formula_sum 'Th8 Sc1'
_cell_length_a 9.082
_cell_length_b 9.082
_cell_length_c 9.082
_cell_angle_alpha 92.22
_cell_angle_beta 92.22
_cell_angle_gamma 157.31
_space_group_name_H-M_alt 'P 1'
_space_group_IT_number 1
_space_group_name_Hall 'P 1'
loop_
_atom_site_label
_atom_site_type_symbol
_atom_site_fract_x
_atom_site_fract_y
_atom_site_fract_z
Th1 Th 0.000 0.331 0.331
Th2 Th 0.000 0.669 0.669
Th3 Th 0.331 0.000 0.331
Th4 Th 0.336 0.336 0.671
Th5 Th 0.336 0.664 0.000
Th6 Th 0.664 0.336 0.000
Th7 Th 0.664 0.664 0.329
Th8 Th 0.669 0.000 0.669
Sc1 Sc 0.000 0.000 0.000
# Size of the total moment ... 0.000 μB/f.u.
# Formation enthalpy at 0 K ... 0.114 eV/atom

---

[11]
# LiRh4Br | the Alexandria database | GGA-PBE | relaxed
data_LiRh4Br
_chemical_formula_sum 'Li1 Rh4 Br1'
_cell_length_a 5.233
_cell_length_b 5.233
_cell_length_c 5.233
_cell_angle_alpha 60.00
_cell_angle_beta 60.00
_cell_angle_gamma 60.00
_space_group_name_H-M_alt 'P 1'
_space_group_IT_number 1
_space_group_name_Hall 'P 1'
loop_
_atom_site_label
_atom_site_type_symbol
_atom_site_fract_x
_atom_site_fract_y
_atom_site_fract_z
Li1 Li 0.000 0.000 0.000
Rh1 Rh 0.126 0.625 0.625
Rh2 Rh 0.625 0.126 0.625
Rh3 Rh 0.625 0.625 0.126
Rh4 Rh 0.625 0.625 0.625
Br1 Br 0.250 0.250 0.250
# Size of the total moment ... 2.445 μB/f.u.
# E_form (uncorrected) ... 11.47 kcal/mol of atoms

---

[12]
# NpCu2Ge2 | the Alexandria database | GGA-PBE | relaxed
data_NpCu2Ge2
_chemical_formula_sum 'Np1 Cu2 Ge2'
_cell_length_a 5.937
_cell_length_b 5.937
_cell_length_c 5.937
_cell_angle_alpha 140.00
_cell_angle_beta 140.00
_cell_angle_gamma 57.86
_space_group_name_H-M_alt 'P 1'
_space_group_IT_number 1
_space_group_name_Hall 'P 1'
loop_
_atom_site_label
_atom_site_type_symbol
_atom_site_fract_x
_atom_site_fract_y
_atom_site_fract_z
Np1 Np 0.000 0.000 0.000
Cu1 Cu 0.250 0.750 0.500
Cu2 Cu 0.750 0.250 0.500
Ge1 Ge 0.380 0.380 0.000
Ge2 Ge 0.620 0.620 0.000
# Size of the total moment ... 3.964 μB/f.u.
# Formation enthalpy at 0 K ... -0.174 eV/atom

---

[13]
# SbRh2Br | the Alexandria database | GGA-PBE | relaxed
data_SbRh2Br
_chemical_formula_sum 'Sb1 Rh2 Br1'
_cell_length_a 4.030
_cell_length_b 4.030
_cell_length_c 6.542
_cell_angle_alpha 104.47
_cell_angle_beta 104.47
_cell_angle_gamma 53.60
_space_group_name_H-M_alt 'P 1'
_space_group_IT_number 1
_space_group_name_Hall 'P 1'
loop_
_atom_site_label
_atom_site_type_symbol
_atom_site_fract_x
_atom_site_fract_y
_atom_site_fract_z
Sb1 Sb 0.000 0.000 0.000
Rh1 Rh 0.263 0.263 0.803
Rh2 Rh 0.737 0.737 0.197
Br1 Br 0.500 0.500 0.500
# Size of the total moment ... 0.000 μB/f.u.
# E_form (uncorrected) ... -0.80 kcal/mol of atoms

---

[14]
# La2CdReC | the Alexandria database | GGA-PBE | relaxed
data_La2CdReC
_chemical_formula_sum 'La2 Cd1 Re1 C1'
_cell_length_a 5.391
_cell_length_b 5.391
_cell_length_c 4.020
_cell_angle_alpha 90.00
_cell_angle_beta 90.00
_cell_angle_gamma 90.00
_space_group_name_H-M_alt 'P 1'
_space_group_IT_number 1
_space_group_name_Hall 'P 1'
loop_
_atom_site_label
_atom_site_type_symbol
_atom_site_fract_x
_atom_site_fract_y
_atom_site_fract_z
La1 La 0.000 0.500 0.000
La2 La 0.500 0.000 0.000
Cd1 Cd 0.000 0.000 0.500
Re1 Re 0.500 0.500 0.500
C1 C 0.500 0.500 0.000
# Size of the total moment ... 0.000 μB/f.u.
# Formation enthalpy at 0 K ... -0.146 eV/atom

---

[15]
# Y2HfBeTe | the Alexandria database | GGA-PBE | relaxed
data_Y2HfBeTe
_chemical_formula_sum 'Y2 Hf1 Be1 Te1'
_cell_length_a 5.139
_cell_length_b 5.139
_cell_length_c 4.760
_cell_angle_alpha 90.00
_cell_angle_beta 90.00
_cell_angle_gamma 90.00
_space_group_name_H-M_alt 'P 1'
_space_group_IT_number 1
_space_group_name_Hall 'P 1'
loop_
_atom_site_label
_atom_site_type_symbol
_atom_site_fract_x
_atom_site_fract_y
_atom_site_fract_z
Y1 Y 0.000 0.500 0.000
Y2 Y 0.500 0.000 0.000
Hf1 Hf 0.000 0.000 0.500
Be1 Be 0.000 0.000 0.000
Te1 Te 0.500 0.500 0.500
# Size of the total moment ... 0.000 μB/f.u.
# E_form (uncorrected) ... -1.69 kcal/mol of atoms

---

[16]
# ZrZn2Ir | the Alexandria database | GGA-PBE | relaxed
data_ZrZn2Ir
_chemical_formula_sum 'Zr1 Zn2 Ir1'
_cell_length_a 2.807
_cell_length_b 2.807
_cell_length_c 9.025
_cell_angle_alpha 90.00
_cell_angle_beta 90.00
_cell_angle_gamma 111.12
_space_group_name_H-M_alt 'P 1'
_space_group_IT_number 1
_space_group_name_Hall 'P 1'
loop_
_atom_site_label
_atom_site_type_symbol
_atom_site_fract_x
_atom_site_fract_y
_atom_site_fract_z
Zr1 Zr 0.000 0.000 0.000
Zn1 Zn 0.500 0.500 0.273
Zn2 Zn 0.500 0.500 0.727
Ir1 Ir 0.000 0.000 0.500
# Size of the total moment ... 0.000 μB/f.u.
# Formation enthalpy at 0 K ... 0.006 eV/atom

---

[17]
# NdTm4Sc5 | the Alexandria database | GGA-PBE | relaxed
data_NdTm4Sc5
_chemical_formula_sum 'Nd1 Tm4 Sc5'
_cell_length_a 7.492
_cell_length_b 7.492
_cell_length_c 7.492
_cell_angle_alpha 99.36
_cell_angle_beta 99.36
_cell_angle_gamma 132.44
_space_group_name_H-M_alt 'P 1'
_space_group_IT_number 1
_space_group_name_Hall 'P 1'
loop_
_atom_site_label
_atom_site_type_symbol
_atom_site_fract_x
_atom_site_fract_y
_atom_site_fract_z
Nd1 Nd 0.000 0.000 0.000
Tm1 Tm 0.122 0.828 0.396
Tm2 Tm 0.431 0.726 0.604
Tm3 Tm 0.726 0.122 0.295
Tm4 Tm 0.828 0.431 0.705
Sc1 Sc 0.056 0.144 0.628
Sc2 Sc 0.144 0.516 0.088
Sc3 Sc 0.428 0.056 0.912
Sc4 Sc 0.516 0.428 0.372
Sc5 Sc 0.543 0.543 0.000
# Size of the total moment ... 0.001 μB/f.u.
# Formation enthalpy at 0 K ... 0.299 eV/atom

---

[18]
# CsGaSe2 | the Alexandria database | GGA-PBE | relaxed
data_CsGaSe2
_chemical_formula_sum 'Cs2 Ga2 Se4'
_cell_length_a 7.728
_cell_length_b 7.728
_cell_length_c 7.728
_cell_angle_alpha 123.47
_cell_angle_beta 123.47
_cell_angle_gamma 84.08
_space_group_name_H-M_alt 'P 1'
_space_group_IT_number 1
_space_group_name_Hall 'P 1'
loop_
_atom_site_label
_atom_site_type_symbol
_atom_site_fract_x
_atom_site_fract_y
_atom_site_fract_z
Cs1 Cs 0.375 0.625 0.750
Cs2 Cs 0.625 0.375 0.250
Ga1 Ga 0.125 0.875 0.250
Ga2 Ga 0.875 0.125 0.750
Se1 Se 0.071 0.321 0.750
Se2 Se 0.321 0.071 0.250
Se3 Se 0.679 0.929 0.750
Se4 Se 0.929 0.679 0.250
# Size of the total moment ... 0.000 μB/f.u.
# E_form (uncorrected) ... -14.86 kcal/mol of atoms

---

[19]
# Ba3Sn2GePd6 | the Alexandria database | GGA-PBE | relaxed
data_Ba3Sn2GePd6
_chemical_formula_sum 'Ba3 Sn2 Ge1 Pd6'
_cell_length_a 6.611
_cell_length_b 6.611
_cell_length_c 8.509
_cell_angle_alpha 90.00
_cell_angle_beta 90.00
_cell_angle_gamma 120.00
_space_group_name_H-M_alt 'P 1'
_space_group_IT_number 1
_space_group_name_Hall 'P 1'
loop_
_atom_site_label
_atom_site_type_symbol
_atom_site_fract_x
_atom_site_fract_y
_atom_site_fract_z
Ba1 Ba 0.000 0.000 0.000
Ba2 Ba 0.333 0.667 0.711
Ba3 Ba 0.667 0.333 0.289
Sn1 Sn 0.333 0.667 0.122
Sn2 Sn 0.667 0.333 0.878
Ge1 Ge 0.000 0.000 0.500
Pd1 Pd 0.192 0.385 0.377
Pd2 Pd 0.192 0.808 0.377
Pd3 Pd 0.385 0.192 0.623
Pd4 Pd 0.615 0.808 0.377
Pd5 Pd 0.808 0.192 0.623
Pd6 Pd 0.808 0.615 0.623
# Size of the total moment ... 0.000 μB/f.u.
# Formation enthalpy at 0 K ... -0.573 eV/atom